Record 1
The following is a DFT calculation (PBE) of a relaxed AlSeN2O crystal.

abc: 3.4948 3.4948 6.3133
angles: 90.00 90.00 90.00
With the nearest neighbours (Å) after each atom.
Element x y z (fractional)
N 0.0000 0.5000 0.0000  2 Al 1.75
N 0.5000 0.0000 0.0000  2 Al 1.75
O 0.5000 0.5000 0.5000  4 Se 2.47
Se 0.0000 0.0000 0.5000  4 O 2.47
Al 0.0000 0.0000 0.0000  4 N 1.75

Calculated values
formation energy (no corrections): 1.06 eV per atom
crystal system: tetragonal
total magnetic moment: 0.00 Bohr magnetons per cell
symmetry: No. 123

Record 2
The following is a DFT calculation (PBE) of a relaxed TiSn2TeRu crystal.

abc: 5.2583 5.1242 5.2583
angles: 90.00 90.00 90.00
With the nearest neighbours (Å) after each atom.
Element x y z (fractional)
Sn 0.0000 0.0000 0.5000  2 Ti 2.63
Sn 0.5000 0.0000 0.0000  2 Ti 2.63
Ti 0.0000 0.0000 0.0000  2 Te 2.56, 4 Sn 2.63
Ru 0.5000 0.5000 0.5000  8 Sn 3.67, 4 Te 3.72
Te 0.0000 0.5000 0.0000  2 Ti 2.56

Calculated values
formation energy (no corrections): 0.91 eV per atom
crystal system: tetragonal
total magnetic moment: 2.46 Bohr magnetons per cell
symmetry: No. 123

Record 3
The following is a DFT calculation (PBE) of a relaxed ErInTe2 crystal.

abc: 3.8428 3.8428 8.0160
angles: 90.00 90.00 90.00
With the nearest neighbours (Å) after each atom.
Element x y z (fractional)
Er 0.5000 0.5000 0.0000  8 Te 3.23
Te 0.0000 0.0000 0.2184  4 Er 3.23, 1 Te 3.50, 4 In 3.53
Te 0.0000 0.0000 0.7816  4 Er 3.23, 1 Te 3.50, 4 In 3.53
In 0.5000 0.5000 0.5000  8 Te 3.53, 4 In 3.84

Calculated values
formation energy (no corrections): -0.76 eV per atom
crystal system: tetragonal
total magnetic moment: 0.00 Bohr magnetons per cell
symmetry: No. 123

Record 4
The following is a DFT calculation (PBE) of a relaxed ZrSiAs2 crystal.

abc: 4.6311 6.7122 3.5173
angles: 58.82 89.74 121.88
With the nearest neighbours (Å) after each atom.
Element x y z (fractional)
Zr 0.5000 0.0000 0.5000  2 Si 2.87, 8 As 2.90-2.91
As 0.0000 0.0000 0.0000  2 As 2.87, 4 Si 2.90-2.91, 4 Zr 2.90-2.91
As 0.0000 0.5000 0.5000  2 As 2.87, 4 Zr 2.90-2.91, 4 Si 2.90-2.91
Si 0.5000 0.5000 0.0000  2 Zr 2.87, 8 As 2.90-2.91

Calculated values
formation energy (no corrections): -0.22 eV per atom
distance to the lowest polymorph of the same formula: 0.410 eV/atom
crystal system: monoclinic
total magnetic moment: 0.00 Bohr magnetons per cell
symmetry: No. 12

Going through the records in order, we get DOS(E_F) values of 0.785, 1.572, 0.384, 0.499 states/eV/atom.
Going through the records in order, we get E values of -4.712, -4.755, -4.158, -6.041 eV per atom.